DFT (PBE) results for crystalline IrAuO3 at its relaxed geometry.

As for the total moment: 1.3 μB/f.u. For the volume, the calculation gives 59.8 Å³/cell. For the uncorrected formation energy, the calculation gives 133.5 meV per atom. The density of states at the Fermi level is 4.650 states/eV per cell.

Unit cell a=3.910 b=3.910 c=3.910 alpha=90.00 beta=90.00 gamma=90.00
Fractional positions:
Ir1 0.000 0.000 0.000
Au1 0.500 0.500 0.500
O1 0.000 0.000 0.500
O2 0.000 0.500 0.000
O3 0.500 0.000 0.000